# PBE with a Hubbard U HoCr4Co3O12, optimized geometry
data_HoCr4Co3O12
_chemical_formula_sum 'Ho1 Cr4 Co3 O12'
_symmetry_space_group_name_H-M 'P 1'
_symmetry_Int_Tables_number 1
_symmetry_space_group_name_Hall 'P 1'
_cell_length_a 6.416
_cell_length_b 6.416
_cell_length_c 6.416
_cell_angle_alpha 109.47
_cell_angle_beta 109.47
_cell_angle_gamma 109.47
loop_
_atom_site_label
_atom_site_type_symbol
_atom_site_fract_x
_atom_site_fract_y
_atom_site_fract_z
Ho1 Ho 0.000 0.000 0.000
Cr1 Cr 0.500 0.000 0.000
Cr2 Cr 0.500 0.500 0.500
Cr3 Cr 0.000 0.500 0.000
Cr4 Cr 0.000 0.000 0.500
Co1 Co 0.000 0.500 0.500
Co2 Co 0.500 0.500 0.000
Co3 Co 0.500 0.000 0.500
O1 O 0.307 0.831 0.137
O2 O 0.693 0.169 0.863
O3 O 0.693 0.831 0.524
O4 O 0.863 0.693 0.169
O5 O 0.831 0.137 0.307
O6 O 0.169 0.476 0.307
O7 O 0.476 0.307 0.169
O8 O 0.169 0.863 0.693
O9 O 0.307 0.169 0.476
O10 O 0.137 0.307 0.831
O11 O 0.831 0.524 0.693
O12 O 0.524 0.693 0.831
# Calculated density ... 6.057 Mg/m³
# E_tot ... -144.1 eV per cell
# Symmetry ... No. 204